P | The following is a PBE calculation of a geometry-optimized K2LaCl structure, from the Alexandria database.

It has space group Fm-3m (No. 225), with a = 9.1962 Å, b = 9.1962 Å, c = 9.1962 Å, α = 90.00°, β = 90.00° and γ = 90.00°. The distinct sites, in fractional coordinates, are K at (0.2500, 0.2500, 0.2500), La at (0.0000, 0.0000, 0.0000) and Cl at (0.0000, 0.0000, 0.5000).

Q | The following is a PBE calculation of a geometry-optimized K2LaCl structure, from the Alexandria database.

It has space group C2/m (No. 12), with a = 6.3150 Å, b = 13.4531 Å, c = 3.9379 Å, α = 90.00°, β = 90.13° and γ = 90.00°. The distinct sites, in fractional coordinates, are K at (0.2500, 0.2500, 0.0000), La at (0.0000, 0.0000, 0.5000) and Cl at (0.0000, 0.5000, 0.5000).

Most stable = Q

P | The following is a PBE calculation of a geometry-optimized AlSb2P structure, from the Alexandria database.

It has space group Pmmm (No. 47), with a = 3.6563 Å, b = 4.5864 Å, c = 5.2500 Å, α = 90.00°, β = 90.00° and γ = 90.00°. The distinct sites, in fractional coordinates, are Al at (0.0000, 0.0000, 0.0000), Sb at (0.0000, 0.5000, 0.5000), Sb at (0.5000, 0.5000, 0.0000) and P at (0.5000, 0.0000, 0.5000).

Q | The following is a PBE calculation of a geometry-optimized AlSb2P structure, from the Alexandria database.

It has space group P4mm (No. 99), with a = 3.9904 Å, b = 3.9904 Å, c = 6.0137 Å, α = 90.00°, β = 90.00° and γ = 90.00°. The distinct sites, in fractional coordinates, are Al at (0.0000, 0.0000, 0.0000), Sb at (0.0000, 0.0000, 0.4700), Sb at (0.5000, 0.5000, 0.9423) and P at (0.5000, 0.5000, 0.5187).

Most stable = Q

P | The following is a PBE calculation of a geometry-optimized LiTc2Os structure, from the Alexandria database.

It has space group I-42d (No. 122), with a = 7.0816 Å, b = 7.0816 Å, c = 5.0834 Å, α = 90.00°, β = 90.00° and γ = 90.00°. The distinct sites, in fractional coordinates, are Li at (0.0000, 0.0000, 0.0000), Tc at (0.2184, 0.7500, 0.6250) and Os at (0.0000, 0.0000, 0.5000).

Q | The following is a PBE calculation of a geometry-optimized LiTc2Os structure, from the Alexandria database.

It has space group P4/mmm (No. 123), with a = 3.7576 Å, b = 3.7576 Å, c = 3.9037 Å, α = 90.00°, β = 90.00° and γ = 90.00°. The distinct sites, in fractional coordinates, are Li at (0.0000, 0.0000, 0.0000), Tc at (0.0000, 0.5000, 0.5000) and Os at (0.5000, 0.5000, 0.0000).

Most stable = Q